(1)
VASP calculation (PBE) on a geometry-optimized Sb3Se structure.

Cell: 5.291 5.291 5.291 Å, 109.32 109.32 109.32°
Fractional positions:
Sb 0.000 0.000 0.000
Sb 0.500 0.000 0.500
Sb 0.500 0.500 0.000
Se 0.000 0.500 0.500

Values from the calculation:
* relative energy among the computed polymorphs: 0.044 eV per atom
* uncorrected formation energy: 0.033 eV per atom
* symmetry: No. 166
* total moment: 0.000 μB/f.u.

(2)
VASP calculation (PBE) on a geometry-optimized Sb5Se structure.

Cell: 5.767 5.767 5.516 Å, 90.00 90.00 120.00°
Fractional positions:
Sb 0.333 0.667 0.500
Sb 0.648 0.000 0.000
Sb 0.000 0.648 0.000
Sb 0.667 0.333 0.500
Sb 0.352 0.352 0.000
Se 0.000 0.000 0.500

Values from the calculation:
* relative energy among the computed polymorphs: 0.264 eV per atom
* uncorrected formation energy: 0.275 eV per atom
* symmetry: No. 189
* total moment: 0.000 μB/f.u.

(3)
VASP calculation (PBE) on a geometry-optimized Sb2Se structure.

Cell: 4.691 6.350 7.872 Å, 70.24 88.79 69.21°
Fractional positions:
Sb 0.607 0.820 0.380
Sb 0.814 0.107 0.687
Sb 0.767 0.211 0.125
Sb 0.142 0.279 0.378
Se 0.966 0.675 0.679
Se 0.212 0.960 0.974

Values from the calculation:
* uncorrected formation energy: -0.051 eV per atom
* symmetry: No. 1
* total moment: 0.000 μB/f.u.

(4)
VASP calculation (PBE) on a geometry-optimized Sb3Se structure.

Cell: 3.468 3.468 9.486 Å, 90.00 90.00 113.48°
Fractional positions:
Sb 0.000 0.000 0.481
Sb 0.000 0.000 0.019
Sb 0.500 0.500 0.750
Se 0.500 0.500 0.250

Values from the calculation:
* relative energy among the computed polymorphs: 0.237 eV per atom
* uncorrected formation energy: 0.227 eV per atom
* symmetry: No. 65
* total moment: 0.000 μB/f.u.